Density functional theory data (PBE) for TmPu2ScBi4 after structural relaxation.

Structure (POSCAR):
```
TmPu2ScBi4
1.0
-1.457 0.281 4.192
-6.604 -3.411 -2.067
5.093 -5.351 2.129
Sc Pu Bi Tm
1 2 4 1
Cartesian
-4.030 -1.565 1.062
-0.755 -4.381 0.031
1.818 -2.535 3.160
-1.796 -6.476 2.168
-1.172 -2.005 2.086
2.172 -4.973 1.088
-3.683 -3.789 -1.026
0.000 0.000 0.000
```

Output
SG ... P2/m
Fermi-level density of states ... 29.7 states/eV per cell
E_form ... -50.1 kJ/mol of atoms
Magnetic moment ... 10.315 Bohr magnetons per cell